*a*
# SmDy8Mg2

Crystalline SmDy8Mg2 at its relaxed geometry (GGA-PBE, Alexandria).

```
data_SmDy8Mg2
_chemical_formula_sum 'Sm2 Dy16 Mg4'
_cell_length_a 16.608
_cell_length_b 5.301
_cell_length_c 8.349
_cell_angle_alpha 90.00
_cell_angle_beta 114.69
_cell_angle_gamma 90.00
_space_group_name_H-M_alt 'C 1 2/m 1'
_space_group_IT_number 12
_space_group_name_Hall '-C 2y'
loop_
_atom_site_label
_atom_site_fract_x
_atom_site_fract_y
_atom_site_fract_z
_atom_site_occupancy
Sm1 0.000 0.000 0.000 1
Dy1 0.055 0.500 0.735 1
Dy2 0.100 0.000 0.472 1
Dy3 0.149 0.500 0.205 1
Dy4 0.188 0.000 0.951 1
Mg1 0.226 0.500 0.630 1
```


*b*
# SmDy8Mg2

Crystalline SmDy8Mg2 at its relaxed geometry (GGA-PBE, Alexandria).

```
data_SmDy8Mg2
_chemical_formula_sum 'Sm2 Dy16 Mg4'
_cell_length_a 8.727
_cell_length_b 15.454
_cell_length_c 5.663
_cell_angle_alpha 90.00
_cell_angle_beta 115.66
_cell_angle_gamma 90.00
_space_group_name_H-M_alt 'C 1 2/m 1'
_space_group_IT_number 12
_space_group_name_Hall '-C 2y'
loop_
_atom_site_label
_atom_site_fract_x
_atom_site_fract_y
_atom_site_fract_z
_atom_site_occupancy
Sm1 0.000 0.000 0.000 1
Dy1 0.000 0.214 0.000 1
Dy2 0.092 0.500 0.796 1
Dy3 0.209 0.112 0.631 1
Mg1 0.000 0.307 0.500 1
```


Tell me which of them is the most stable. Sure, it is *a*.